Material: Tl2SnOsO6
Method: DFT, PBE
State: optimized geometry

Properties
**Space-group type**: No. 225
**Raw formation energy**: -0.92 eV/atom

abc: 5.765 5.765 8.151
angles: 90.00 90.00 90.00
Each line ends with the local moment (μB).
Sites, in units of the cell vectors:
Tl  0.500  0.750  0.250  0.00
Tl  0.000  0.250  0.750  0.00
Tl  0.500  0.750  0.750  0.00
Tl  0.000  0.250  0.250  0.00
Sn  0.000  0.750  0.500  0.00
Sn  0.500  0.250  0.000  0.00
Os  0.500  0.250  0.500  1.20
Os  0.000  0.750  0.000  1.20
O  0.500  0.250  0.260  0.06
O  0.500  0.250  0.740  0.06
O  0.000  0.750  0.240  0.06
O  0.000  0.750  0.760  0.06
O  0.259  0.009  0.500  0.07
O  0.741  0.009  0.500  0.07
O  0.259  0.490  0.500  0.07
O  0.741  0.490  0.500  0.07
O  0.759  0.510  0.000  0.07
O  0.241  0.510  0.000  0.07
O  0.241  0.991  0.000  0.07
O  0.759  0.991  0.000  0.07



Material: TmSnOsO6
Method: DFT, PBE
State: optimized geometry

Properties
**Space-group type**: No. 163
**Raw formation energy**: -1.80 eV/atom

abc: 5.348 5.348 9.026
angles: 90.00 90.00 120.00
Each line ends with the local moment (μB).
Sites, in units of the cell vectors:
Tm  0.333  0.667  0.250  0.03
Tm  0.667  0.333  0.750  0.03
Sn  0.000  0.000  0.000  0.05
Sn  0.000  0.000  0.500  0.05
Os  0.667  0.333  0.250  1.80
Os  0.333  0.667  0.750  1.80
O  0.681  0.649  0.127  0.12
O  0.968  0.319  0.127  0.12
O  0.319  0.968  0.627  0.12
O  0.032  0.681  0.873  0.12
O  0.351  0.319  0.373  0.12
O  0.968  0.649  0.373  0.12
O  0.649  0.968  0.873  0.12
O  0.681  0.032  0.373  0.12
O  0.032  0.351  0.627  0.12
O  0.351  0.032  0.127  0.12
O  0.649  0.681  0.627  0.12
O  0.319  0.351  0.873  0.12



In the order shown, the computed calculated volume values come out to 13.5, 12.4 Å³ per atom.